one.
The following is a DFT calculation (PBE-GGA) of crystalline AlS4 at its relaxed geometry.

Properties
SG: Pm-3m (221)

Unit cell a=4.577 b=4.577 c=4.577 alpha=90.00 beta=90.00 gamma=90.00
Fractional positions:
Al: 0.000 0.000 0.000
S: 0.000 0.000 0.500
S: 0.000 0.500 0.000
S: 0.500 0.000 0.000
S: 0.500 0.500 0.500

=====

two.
The following is a DFT calculation (PBE-GGA) of crystalline AlS4 at its relaxed geometry.

Properties
SG: C2/m (12)

Unit cell a=3.614 b=3.614 c=8.703 alpha=102.08 beta=102.08 gamma=60.21
Fractional positions:
Al: 0.000 0.000 0.000
S: 0.142 0.142 0.571
S: 0.383 0.383 0.151
S: 0.617 0.617 0.849
S: 0.858 0.858 0.429

=====

The structure with the greatest stability is two.

=====

one.
The following is a DFT calculation (PBE-GGA) of crystalline AlSb3S at its relaxed geometry.

Properties
SG: Pm-3m (221)

Unit cell a=5.216 b=5.216 c=5.216 alpha=90.00 beta=90.00 gamma=90.00
Fractional positions:
Al: 0.000 0.000 0.000
Sb: 0.000 0.500 0.500
Sb: 0.500 0.000 0.500
Sb: 0.500 0.500 0.000
S: 0.500 0.500 0.500

=====

two.
The following is a DFT calculation (PBE-GGA) of crystalline AlSb3S at its relaxed geometry.

Properties
SG: Pm-3m (221)

Unit cell a=5.220 b=5.220 c=5.220 alpha=90.00 beta=90.00 gamma=90.00
Fractional positions:
Al: 0.000 0.000 0.000
Sb: 0.000 0.000 0.500
Sb: 0.000 0.500 0.000
Sb: 0.500 0.000 0.000
S: 0.500 0.500 0.500

=====

The structure with the greatest stability is one.

=====

one.
The following is a DFT calculation (PBE-GGA) of crystalline AlSb2S at its relaxed geometry.

Properties
SG: I-42d (122)

Unit cell a=8.385 b=8.385 c=8.385 alpha=139.98 beta=139.98 gamma=57.88
Fractional positions:
Al: 0.000 0.000 0.000
Al: 0.750 0.250 0.500
Sb: 0.135 0.625 0.010
Sb: 0.375 0.385 0.510
Sb: 0.615 0.125 0.990
Sb: 0.875 0.865 0.490
S: 0.250 0.750 0.500
S: 0.500 0.500 0.000

=====

two.
The following is a DFT calculation (PBE-GGA) of crystalline AlSb2S at its relaxed geometry.

Properties
SG: Fm-3m (225)

Unit cell a=4.987 b=4.987 c=4.987 alpha=60.00 beta=60.00 gamma=60.00
Fractional positions:
Al: 0.000 0.000 0.000
Sb: 0.250 0.250 0.250
Sb: 0.750 0.750 0.750
S: 0.500 0.500 0.500

=====

The structure with the greatest stability is one.

=====

one.
The following is a DFT calculation (PBE-GGA) of crystalline AlSb2S4 at its relaxed geometry.

Properties
SG: P2_1/m (11)

Unit cell a=7.242 b=6.597 c=8.497 alpha=90.00 beta=104.55 gamma=90.00
Fractional positions:
Al: 0.200 0.250 0.276
Al: 0.800 0.750 0.724
Sb: 0.167 0.750 0.075
Sb: 0.352 0.750 0.572
Sb: 0.648 0.250 0.428
Sb: 0.833 0.250 0.925
S: 0.013 0.004 0.793
S: 0.013 0.496 0.793
S: 0.365 0.250 0.545
S: 0.439 0.250 0.152
S: 0.561 0.750 0.848
S: 0.635 0.750 0.455
S: 0.987 0.504 0.207
S: 0.987 0.996 0.207

=====

two.
The following is a DFT calculation (PBE-GGA) of crystalline AlSb2S4 at its relaxed geometry.

Properties
SG: I-42m (121)

Unit cell a=6.131 b=6.131 c=6.131 alpha=111.29 beta=111.29 gamma=105.89
Fractional positions:
Al: 0.000 0.000 0.000
Sb: 0.000 0.500 0.500
Sb: 0.500 0.000 0.500
S: 0.054 0.645 0.000
S: 0.355 0.355 0.409
S: 0.645 0.054 0.000
S: 0.946 0.946 0.591

=====

The structure with the greatest stability is one.